# GGA-PBE PaHCl3, optimized geometry
# Calculated density: 4.73 g/cm³
# E: -4.970 eV/atom
data_PaHCl3
_cell_length_a 7.696
_cell_length_b 3.980
_cell_length_c 7.772
_cell_angle_alpha 90.00
_cell_angle_beta 94.31
_cell_angle_gamma 90.00
_symmetry_space_group_name_H-M 'P 1'
_symmetry_Int_Tables_number 1
loop_
_symmetry_equiv_pos_as_xyz
'x,y,z'
loop_
_atom_site_label
_atom_site_fract_x
_atom_site_fract_y
_atom_site_fract_z
_atom_site_occupancy
Pa1 0.138 0.250 0.265 1
Pa2 0.862 0.750 0.735 1
H1 0.366 0.250 0.402 1
H2 0.634 0.750 0.598 1
Cl1 0.105 0.250 0.867 1
Cl2 0.171 0.750 0.529 1
Cl3 0.348 0.750 0.151 1
Cl4 0.652 0.250 0.849 1
Cl5 0.829 0.250 0.471 1
Cl6 0.895 0.750 0.133 1

***

# GGA-PBE Ag3Rh, optimized geometry
# Calculated density: 10.48 g/cm³
# Energy of formation: 0.233 eV per atom
# E: -3.743 eV/atom
data_Ag3Rh
_cell_length_a 5.767
_cell_length_b 5.767
_cell_length_c 4.694
_cell_angle_alpha 90.00
_cell_angle_beta 90.00
_cell_angle_gamma 120.00
_symmetry_space_group_name_H-M 'P 1'
_symmetry_Int_Tables_number 1
loop_
_symmetry_equiv_pos_as_xyz
'x,y,z'
loop_
_atom_site_label
_atom_site_fract_x
_atom_site_fract_y
_atom_site_fract_z
_atom_site_occupancy
Ag1 0.168 0.337 0.250 1
Ag2 0.168 0.832 0.250 1
Ag3 0.337 0.168 0.750 1
Ag4 0.663 0.832 0.250 1
Ag5 0.832 0.168 0.750 1
Ag6 0.832 0.663 0.750 1
Rh1 0.333 0.667 0.750 1
Rh2 0.667 0.333 0.250 1

***

# GGA-PBE SrLa3Al8, optimized geometry
# Calculated density: 4.37 g/cm³
# Energy of formation: -0.416 eV per atom
# E: -4.283 eV/atom
data_SrLa3Al8
_cell_length_a 5.793
_cell_length_b 5.793
_cell_length_c 9.422
_cell_angle_alpha 90.00
_cell_angle_beta 90.00
_cell_angle_gamma 120.00
_symmetry_space_group_name_H-M 'P 1'
_symmetry_Int_Tables_number 1
loop_
_symmetry_equiv_pos_as_xyz
'x,y,z'
loop_
_atom_site_label
_atom_site_fract_x
_atom_site_fract_y
_atom_site_fract_z
_atom_site_occupancy
Sr1 0.000 0.000 0.000 1
La1 0.000 0.000 0.364 1
La2 0.667 0.333 0.505 1
La3 0.667 0.333 0.866 1
Al1 0.162 0.324 0.680 1
Al2 0.162 0.838 0.680 1
Al3 0.333 0.667 0.431 1
Al4 0.333 0.667 0.934 1
Al5 0.505 0.010 0.186 1
Al6 0.505 0.495 0.186 1
Al7 0.676 0.838 0.680 1
Al8 0.990 0.495 0.186 1